Entry 1:
# PBE-GGA CeAgBi2, optimized geometry
data_CeAgBi2
_chemical_formula_sum 'Ce1 Ag1 Bi2'
_cell_length_a 4.9579
_cell_length_b 4.9579
_cell_length_c 4.3872
_cell_angle_alpha 90.00
_cell_angle_beta 90.00
_cell_angle_gamma 90.00
_symmetry_space_group_name_H-M 'P 1'
_symmetry_Int_Tables_number 1
_symmetry_space_group_name_Hall 'P 1'
loop_
_atom_site_label
_atom_site_fract_x
_atom_site_fract_y
_atom_site_fract_z
_atom_site_occupancy
Ce1 0.0000 0.0000 0.0000 1
Ag1 0.5000 0.5000 0.0000 1
Bi1 0.0000 0.5000 0.5000 1
Bi2 0.5000 0.0000 0.5000 1
# Energy, eV/cell: -18.26

***

Entry 2:
# PBE-GGA TiHgCl3, optimized geometry
data_TiHgCl3
_chemical_formula_sum 'Ti1 Hg1 Cl3'
_cell_length_a 4.9295
_cell_length_b 4.9295
_cell_length_c 4.9295
_cell_angle_alpha 90.00
_cell_angle_beta 90.00
_cell_angle_gamma 90.00
_symmetry_space_group_name_H-M 'P 1'
_symmetry_Int_Tables_number 1
_symmetry_space_group_name_Hall 'P 1'
loop_
_atom_site_label
_atom_site_fract_x
_atom_site_fract_y
_atom_site_fract_z
_atom_site_occupancy
Ti1 0.0000 0.0000 0.0000 1
Hg1 0.5000 0.5000 0.5000 1
Cl1 0.0000 0.0000 0.5000 1
Cl2 0.0000 0.5000 0.0000 1
Cl3 0.5000 0.0000 0.0000 1
# ΔE_f (raw), eV per atom: -1.0295
# Offset from the most stable computed form, eV/atom: 0.217

***

Entry 3:
# PBE-GGA NiPt2Se, optimized geometry
data_NiPt2Se
_chemical_formula_sum 'Ni2 Pt4 Se2'
_cell_length_a 4.0182
_cell_length_b 4.0182
_cell_length_c 7.5832
_cell_angle_alpha 90.00
_cell_angle_beta 90.00
_cell_angle_gamma 90.00
_symmetry_space_group_name_H-M 'P 1'
_symmetry_Int_Tables_number 1
_symmetry_space_group_name_Hall 'P 1'
loop_
_atom_site_label
_atom_site_fract_x
_atom_site_fract_y
_atom_site_fract_z
_atom_site_occupancy
Ni1 0.0000 0.0000 0.0000 1
Ni2 0.5000 0.5000 0.5000 1
Pt1 0.0000 0.0000 0.5000 1
Pt2 0.0000 0.5000 0.7500 1
Pt3 0.5000 0.0000 0.2500 1
Pt4 0.5000 0.5000 0.0000 1
Se1 0.0000 0.5000 0.2500 1
Se2 0.5000 0.0000 0.7500 1
# ΔE_f (raw), eV per atom: 0.2073

***

Entry 4:
# PBE-GGA Sc2AlO, optimized geometry
data_Sc2AlO
_chemical_formula_sum 'Sc8 Al4 O4'
_cell_length_a 6.4105
_cell_length_b 6.4105
_cell_length_c 7.3037
_cell_angle_alpha 90.00
_cell_angle_beta 90.00
_cell_angle_gamma 90.00
_symmetry_space_group_name_H-M 'P 1'
_symmetry_Int_Tables_number 1
_symmetry_space_group_name_Hall 'P 1'
loop_
_atom_site_label
_atom_site_fract_x
_atom_site_fract_y
_atom_site_fract_z
_atom_site_occupancy
Sc1 0.1422 0.7500 0.1250 1
Sc2 0.2500 0.1422 0.8750 1
Sc3 0.2500 0.3578 0.3750 1
Sc4 0.3578 0.7500 0.6250 1
Sc5 0.6422 0.2500 0.6250 1
Sc6 0.7500 0.6422 0.3750 1
Sc7 0.7500 0.8578 0.8750 1
Sc8 0.8578 0.2500 0.1250 1
Al1 0.0000 0.0000 0.5000 1
Al2 0.0000 0.5000 0.7500 1
Al3 0.5000 0.0000 0.2500 1
Al4 0.5000 0.5000 0.0000 1
O1 0.0000 0.0000 0.0000 1
O2 0.0000 0.5000 0.2500 1
O3 0.5000 0.0000 0.7500 1
O4 0.5000 0.5000 0.5000 1
# ΔE_f (raw), eV per atom: -1.4014
# Offset from the most stable computed form, eV/atom: 0.000

***

Entry 5:
# PBE-GGA Cs2Te2I7, optimized geometry
data_Cs2Te2I7
_chemical_formula_sum 'Cs2 Te2 I7'
_cell_length_a 8.4224
_cell_length_b 8.4224
_cell_length_c 8.8154
_cell_angle_alpha 93.37
_cell_angle_beta 93.37
_cell_angle_gamma 94.32
_symmetry_space_group_name_H-M 'P 1'
_symmetry_Int_Tables_number 1
_symmetry_space_group_name_Hall 'P 1'
loop_
_atom_site_label
_atom_site_fract_x
_atom_site_fract_y
_atom_site_fract_z
_atom_site_occupancy
Cs1 0.2481 0.7519 0.0000 1
Cs2 0.7519 0.2481 0.0000 1
Te1 0.2607 0.2607 0.5190 1
Te2 0.7393 0.7393 0.4810 1
I1 0.0000 0.0000 0.5000 1
I2 0.0975 0.4434 0.2809 1
I3 0.2672 0.2672 0.8561 1
I4 0.4434 0.0975 0.2809 1
I5 0.5566 0.9025 0.7191 1
I6 0.7328 0.7328 0.1439 1
I7 0.9025 0.5566 0.7191 1
# ΔE_f (raw), eV per atom: -0.5203

***

Entry 6:
# PBE-GGA Ag2Mo, optimized geometry
data_Ag2Mo
_chemical_formula_sum 'Ag8 Mo4'
_cell_length_a 2.7105
_cell_length_b 2.7105
_cell_length_c 28.3180
_cell_angle_alpha 90.00
_cell_angle_beta 90.00
_cell_angle_gamma 90.00
_symmetry_space_group_name_H-M 'P 1'
_symmetry_Int_Tables_number 1
_symmetry_space_group_name_Hall 'P 1'
loop_
_atom_site_label
_atom_site_fract_x
_atom_site_fract_y
_atom_site_fract_z
_atom_site_occupancy
Ag1 0.0000 0.2500 0.2949 1
Ag2 0.0000 0.2500 0.4551 1
Ag3 0.0000 0.7500 0.5449 1
Ag4 0.0000 0.7500 0.7051 1
Ag5 0.5000 0.2500 0.0449 1
Ag6 0.5000 0.2500 0.2051 1
Ag7 0.5000 0.7500 0.7949 1
Ag8 0.5000 0.7500 0.9551 1
Mo1 0.0000 0.2500 0.8750 1
Mo2 0.0000 0.7500 0.1250 1
Mo3 0.5000 0.2500 0.6250 1
Mo4 0.5000 0.7500 0.3750 1
# Offset from the most stable computed form, eV/atom: 0.066

***

Entry 7:
# PBE-GGA Zn2CdTc, optimized geometry
data_Zn2CdTc
_chemical_formula_sum 'Zn2 Cd1 Tc1'
_cell_length_a 3.2590
_cell_length_b 3.2590
_cell_length_c 6.0820
_cell_angle_alpha 90.00
_cell_angle_beta 90.00
_cell_angle_gamma 90.00
_symmetry_space_group_name_H-M 'P 1'
_symmetry_Int_Tables_number 1
_symmetry_space_group_name_Hall 'P 1'
loop_
_atom_site_label
_atom_site_fract_x
_atom_site_fract_y
_atom_site_fract_z
_atom_site_occupancy
Zn1 0.0000 0.0000 0.2143 1
Zn2 0.0000 0.0000 0.7857 1
Cd1 0.5000 0.5000 0.5000 1
Tc1 0.5000 0.5000 0.0000 1
# Energy, eV/cell: -12.97

***

Entry 8:
# PBE-GGA SrAcGeI, optimized geometry
data_SrAcGeI
_chemical_formula_sum 'Sr3 Ac3 Ge3 I3'
_cell_length_a 4.6684
_cell_length_b 4.6684
_cell_length_c 24.8459
_cell_angle_alpha 90.00
_cell_angle_beta 90.00
_cell_angle_gamma 120.00
_symmetry_space_group_name_H-M 'P 1'
_symmetry_Int_Tables_number 1
_symmetry_space_group_name_Hall 'P 1'
loop_
_atom_site_label
_atom_site_fract_x
_atom_site_fract_y
_atom_site_fract_z
_atom_site_occupancy
Sr1 0.0000 0.0000 0.0000 1
Sr2 0.3333 0.6667 0.6667 1
Sr3 0.6667 0.3333 0.3333 1
Ac1 0.0000 0.0000 0.7962 1
Ac2 0.3333 0.6667 0.4628 1
Ac3 0.6667 0.3333 0.1295 1
Ge1 0.0000 0.0000 0.4023 1
Ge2 0.3333 0.6667 0.0690 1
Ge3 0.6667 0.3333 0.7357 1
I1 0.0000 0.0000 0.2314 1
I2 0.3333 0.6667 0.8981 1
I3 0.6667 0.3333 0.5648 1
# ΔE_f (raw), eV per atom: -1.0020
# Offset from the most stable computed form, eV/atom: 0.000

***

Entry 9:
# PBE-GGA Zr2AlSe, optimized geometry
data_Zr2AlSe
_chemical_formula_sum 'Zr8 Al4 Se4'
_cell_length_a 6.8501
_cell_length_b 6.8501
_cell_length_c 6.8501
_cell_angle_alpha 90.00
_cell_angle_beta 90.00
_cell_angle_gamma 90.00
_symmetry_space_group_name_H-M 'P 1'
_symmetry_Int_Tables_number 1
_symmetry_space_group_name_Hall 'P 1'
loop_
_atom_site_label
_atom_site_fract_x
_atom_site_fract_y
_atom_site_fract_z
_atom_site_occupancy
Zr1 0.0000 0.0000 0.0000 1
Zr2 0.0000 0.5000 0.5000 1
Zr3 0.2500 0.2500 0.2500 1
Zr4 0.2500 0.7500 0.7500 1
Zr5 0.5000 0.0000 0.5000 1
Zr6 0.5000 0.5000 0.0000 1
Zr7 0.7500 0.2500 0.7500 1
Zr8 0.7500 0.7500 0.2500 1
Al1 0.0000 0.0000 0.5000 1
Al2 0.0000 0.5000 0.0000 1
Al3 0.5000 0.0000 0.0000 1
Al4 0.5000 0.5000 0.5000 1
Se1 0.2500 0.2500 0.7500 1
Se2 0.2500 0.7500 0.2500 1
Se3 0.7500 0.2500 0.2500 1
Se4 0.7500 0.7500 0.7500 1
# ΔE_f (raw), eV per atom: 0.0253
# Offset from the most stable computed form, eV/atom: 0.717

***

Entry 10:
# PBE-GGA RbSeBr3, optimized geometry
data_RbSeBr3
_chemical_formula_sum 'Rb2 Se2 Br6'
_cell_length_a 5.6677
_cell_length_b 5.6677
_cell_length_c 11.3173
_cell_angle_alpha 90.00
_cell_angle_beta 90.00
_cell_angle_gamma 120.00
_symmetry_space_group_name_H-M 'P 1'
_symmetry_Int_Tables_number 1
_symmetry_space_group_name_Hall 'P 1'
loop_
_atom_site_label
_atom_site_fract_x
_atom_site_fract_y
_atom_site_fract_z
_atom_site_occupancy
Rb1 0.3333 0.6667 0.2500 1
Rb2 0.6667 0.3333 0.7500 1
Se1 0.0000 0.0000 0.0000 1
Se2 0.0000 0.0000 0.5000 1
Br1 0.0000 0.0000 0.2500 1
Br2 0.0000 0.0000 0.7500 1
Br3 0.3333 0.6667 0.5400 1
Br4 0.3333 0.6667 0.9600 1
Br5 0.6667 0.3333 0.0400 1
Br6 0.6667 0.3333 0.4600 1
# ΔE_f (raw), eV per atom: -0.3962

***

Entry 11:
# PBE-GGA TlGeC, optimized geometry
data_TlGeC
_chemical_formula_sum 'Tl2 Ge2 C2'
_cell_length_a 4.0706
_cell_length_b 6.1045
_cell_length_c 6.4799
_cell_angle_alpha 89.00
_cell_angle_beta 72.36
_cell_angle_gamma 74.56
_symmetry_space_group_name_H-M 'P 1'
_symmetry_Int_Tables_number 1
_symmetry_space_group_name_Hall 'P 1'
loop_
_atom_site_label
_atom_site_fract_x
_atom_site_fract_y
_atom_site_fract_z
_atom_site_occupancy
Tl1 0.0000 0.0000 0.0000 1
Tl2 0.4028 0.4785 0.0278 1
Ge1 0.2740 0.0814 0.4053 1
Ge2 0.7406 0.9389 0.5992 1
C1 0.0772 0.4048 0.4910 1
C2 0.9411 0.6156 0.5130 1
# Offset from the most stable computed form, eV/atom: 0.048

***

Entry 12:
# PBE-GGA Cs3Ho3ThTe8, optimized geometry
data_Cs3Ho3ThTe8
_chemical_formula_sum 'Cs3 Ho3 Th1 Te8'
_cell_length_a 10.4722
_cell_length_b 10.4722
_cell_length_c 10.4722
_cell_angle_alpha 50.84
_cell_angle_beta 50.84
_cell_angle_gamma 50.84
_symmetry_space_group_name_H-M 'P 1'
_symmetry_Int_Tables_number 1
_symmetry_space_group_name_Hall 'P 1'
loop_
_atom_site_label
_atom_site_fract_x
_atom_site_fract_y
_atom_site_fract_z
_atom_site_occupancy
Cs1 0.0000 0.5000 0.5000 1
Cs2 0.5000 0.0000 0.5000 1
Cs3 0.5000 0.5000 0.0000 1
Ho1 0.0000 0.0000 0.5000 1
Ho2 0.0000 0.5000 0.0000 1
Ho3 0.5000 0.0000 0.0000 1
Th1 0.5000 0.5000 0.5000 1
Te1 0.2240 0.7331 0.7331 1
Te2 0.2292 0.2292 0.2292 1
Te3 0.2669 0.2669 0.7760 1
Te4 0.2669 0.7760 0.2669 1
Te5 0.7331 0.2240 0.7331 1
Te6 0.7331 0.7331 0.2240 1
Te7 0.7708 0.7708 0.7708 1
Te8 0.7760 0.2669 0.2669 1
# ΔE_f (raw), eV per atom: -1.3617